{"formula": "ReSi2Cl", "functional": "PBE", "state": "optimized geometry", "lattice": [[-3.4873, 0.4211, -3.2790], [1.3502, -4.1690, -1.9715], [-1.6870, -1.3150, 1.6253]], "species": ["Re", "Si", "Si", "Cl"], "fractional_positions": [[0.0000, 0.5000, 0.5000], [0.5000, 0.5000, 0.0000], [0.0000, 0.0000, 0.0000], [0.5000, 0.0000, 0.5000]], "spacegroup": "P4/mmm (123)", "e_form_raw_mev_per_atom": 572, "rho_g_cm3": 7.44}